A:
A plane-wave DFT calculation with GGA-PBE was carried out for a geometry-optimized MgZn2C structure.

Cell lengths 6.273, 6.273, 6.262 Å; angles 59.94, 59.94, 90.00 degrees
Atoms (fractional coordinates):
C 0.500 0.500 0.000
C 0.250 0.750 0.500
Zn 0.375 0.125 0.250
Zn 0.375 0.625 0.250
Zn 0.375 0.625 0.750
Zn 0.875 0.625 0.750
Mg 0.000 0.000 0.000
Mg 0.750 0.250 0.500

Values from the calculation:
total magnetic moment	0.000	μB per atom
theoretical density	3.2	g cm⁻³


B:
A plane-wave DFT calculation with GGA-PBE was carried out for a geometry-optimized MgZn2C structure.

Cell lengths 4.338, 4.338, 4.338 Å; angles 60.00, 60.00, 60.00 degrees
Atoms (fractional coordinates):
C 0.000 0.000 0.000
Zn 0.250 0.250 0.250
Zn 0.750 0.750 0.750
Mg 0.500 0.500 0.500

Values from the calculation:
total magnetic moment	0.000	μB per atom
theoretical density	4.8	g cm⁻³


Which structure is most stable, and how do the rest compare? From most to least stable: A, B.


A:
A plane-wave DFT calculation with GGA-PBE was carried out for a geometry-optimized MgZnC2 structure.

Cell lengths 3.928, 3.928, 3.928 Å; angles 60.00, 60.00, 60.00 degrees
Atoms (fractional coordinates):
C 0.250 0.250 0.250
C 0.750 0.750 0.750
Zn 0.500 0.500 0.500
Mg 0.000 0.000 0.000

Values from the calculation:
total magnetic moment	0.000	μB per atom
theoretical density	4.4	g cm⁻³


B:
A plane-wave DFT calculation with GGA-PBE was carried out for a geometry-optimized MgZnC2 structure.

Cell lengths 3.871, 3.871, 7.064 Å; angles 74.10, 74.10, 90.00 degrees
Atoms (fractional coordinates):
C 0.718 0.125 0.250
C 0.032 0.625 0.250
C 0.375 0.282 0.750
C 0.875 0.968 0.750
Zn 0.000 0.000 0.000
Zn 0.750 0.250 0.500
Mg 0.500 0.500 0.000
Mg 0.250 0.750 0.500

Values from the calculation:
total magnetic moment	0.000	μB per atom
theoretical density	3.9	g cm⁻³


Which structure is most stable, and how do the rest compare? From most to least stable: B, A.


A:
A plane-wave DFT calculation with GGA-PBE was carried out for a geometry-optimized Mg6ZnC structure.

Cell lengths 6.736, 6.736, 3.365 Å; angles 90.00, 90.00, 98.77 degrees
Atoms (fractional coordinates):
Mg 0.521 0.792 0.000
Mg 0.208 0.479 0.000
Mg 0.617 0.383 0.000
Mg 0.864 0.654 0.500
Mg 0.346 0.136 0.500
Mg 0.871 0.129 0.500
Zn 0.101 0.899 0.000
C 0.473 0.527 0.500

Values from the calculation:
total magnetic moment	0.000	μB per atom
theoretical density	2.5	g cm⁻³


B:
A plane-wave DFT calculation with GGA-PBE was carried out for a geometry-optimized Mg6ZnC structure.

Cell lengths 6.435, 6.435, 3.646 Å; angles 90.00, 90.00, 98.14 degrees
Atoms (fractional coordinates):
Mg 0.900 0.612 0.500
Mg 0.388 0.100 0.500
Mg 0.554 0.788 0.000
Mg 0.212 0.446 0.000
Mg 0.683 0.317 0.000
Mg 0.110 0.890 0.000
Zn 0.891 0.109 0.500
C 0.262 0.738 0.500

Values from the calculation:
total magnetic moment	0.000	μB per atom
theoretical density	2.5	g cm⁻³


Which structure is most stable, and how do the rest compare? From most to least stable: A, B.


A:
A plane-wave DFT calculation with GGA-PBE was carried out for a geometry-optimized Mg2ZnC structure.

Cell lengths 6.671, 6.671, 6.680 Å; angles 60.04, 60.04, 90.00 degrees
Atoms (fractional coordinates):
C 0.500 0.500 0.000
C 0.250 0.750 0.500
Zn 0.000 0.000 0.000
Zn 0.750 0.250 0.500
Mg 0.375 0.125 0.250
Mg 0.375 0.625 0.250
Mg 0.375 0.625 0.750
Mg 0.875 0.625 0.750

Values from the calculation:
total magnetic moment	0.000	μB per atom
theoretical density	2.0	g cm⁻³


B:
A plane-wave DFT calculation with GGA-PBE was carried out for a geometry-optimized Mg2ZnC structure.

Cell lengths 4.364, 4.364, 4.364 Å; angles 60.00, 60.00, 60.00 degrees
Atoms (fractional coordinates):
C 0.000 0.000 0.000
Zn 0.500 0.500 0.500
Mg 0.250 0.250 0.250
Mg 0.750 0.750 0.750

Values from the calculation:
total magnetic moment	0.000	μB per atom
theoretical density	3.6	g cm⁻³


Which structure is most stable, and how do the rest compare? From most to least stable: A, B.


A:
A plane-wave DFT calculation with GGA-PBE was carried out for a geometry-optimized Mg6ZrC structure.

Cell lengths 6.744, 6.744, 4.653 Å; angles 90.00, 90.00, 132.27 degrees
Atoms (fractional coordinates):
Mg 0.799 0.696 0.500
Mg 0.304 0.201 0.500
Mg 0.666 0.826 0.000
Mg 0.174 0.334 0.000
Mg 0.655 0.345 0.000
Mg 0.205 0.795 0.000
Zr 0.811 0.189 0.500
C 0.386 0.614 0.500

Values from the calculation:
total magnetic moment	0.000	μB per atom
theoretical density	2.6	g cm⁻³


B:
A plane-wave DFT calculation with GGA-PBE was carried out for a geometry-optimized Mg6ZrC structure.

Cell lengths 6.380, 6.380, 4.569 Å; angles 90.00, 90.00, 104.98 degrees
Atoms (fractional coordinates):
Mg 0.607 0.783 0.000
Mg 0.217 0.393 0.000
Mg 0.704 0.296 0.000
Mg 0.879 0.573 0.500
Mg 0.427 0.121 0.500
Mg 0.909 0.091 0.500
Zr 0.135 0.865 0.000
C 0.121 0.879 0.500

Values from the calculation:
total magnetic moment	0.000	μB per atom
theoretical density	2.3	g cm⁻³


Which structure is most stable, and how do the rest compare? From most to least stable: B, A.


A:
A plane-wave DFT calculation with GGA-PBE was carried out for a geometry-optimized Mg3ZrC structure.

Cell lengths 5.846, 5.846, 5.846 Å; angles 90.00, 90.00, 90.00 degrees
Atoms (fractional coordinates):
Mg 0.000 0.500 0.000
Mg 0.000 0.000 0.500
Mg 0.500 0.000 0.000
C 0.500 0.500 0.500
Zr 0.000 0.000 0.000

Values from the calculation:
total magnetic moment	1.103	μB per atom
theoretical density	1.5	g cm⁻³


B:
A plane-wave DFT calculation with GGA-PBE was carried out for a geometry-optimized Mg3ZrC structure.

Cell lengths 4.495, 4.495, 4.495 Å; angles 90.00, 90.00, 90.00 degrees
Atoms (fractional coordinates):
Mg 0.000 0.500 0.000
Mg 0.000 0.000 0.500
Mg 0.500 0.000 0.000
C 0.000 0.000 0.000
Zr 0.500 0.500 0.500

Values from the calculation:
total magnetic moment	0.000	μB per atom
theoretical density	3.2	g cm⁻³


Which structure is most stable, and how do the rest compare? From most to least stable: B, A.


A:
A plane-wave DFT calculation with GGA-PBE was carried out for a geometry-optimized MnC2 structure.

Cell lengths 2.604, 2.604, 6.155 Å; angles 90.00, 90.00, 90.00 degrees
Atoms (fractional coordinates):
Mn 0.500 0.000 0.735
Mn 0.000 0.500 0.265
C 0.000 0.000 0.000
C 0.500 0.500 0.000
C 0.500 0.000 0.407
C 0.000 0.500 0.593

Values from the calculation:
total magnetic moment	0.124	μB per atom
theoretical density	6.3	g cm⁻³


B:
A plane-wave DFT calculation with GGA-PBE was carried out for a geometry-optimized MnC2 structure.

Cell lengths 4.798, 4.798, 4.148 Å; angles 89.43, 89.43, 30.49 degrees
Atoms (fractional coordinates):
Mn 0.036 0.036 0.652
Mn 0.775 0.775 0.952
C 0.104 0.104 0.109
C 0.536 0.536 0.220
C 0.343 0.343 0.622
C 0.372 0.372 0.278

Values from the calculation:
total magnetic moment	0.318	μB per atom
theoretical density	5.4	g cm⁻³


C:
A plane-wave DFT calculation with GGA-PBE was carried out for a geometry-optimized MnC2 structure.

Cell lengths 5.325, 5.325, 2.703 Å; angles 90.00, 90.00, 120.00 degrees
Atoms (fractional coordinates):
Mn 0.333 0.667 0.000
Mn 0.667 0.333 0.000
Mn 0.000 0.000 0.500
C 0.270 0.000 0.000
C 0.000 0.270 0.000
C 0.730 0.730 0.000
C 0.628 0.000 0.500
C 0.000 0.628 0.500
C 0.372 0.372 0.500

Values from the calculation:
total magnetic moment	0.000	μB per atom
theoretical density	5.9	g cm⁻³


Which structure is most stable, and how do the rest compare? From most to least stable: B, A, C.


A:
A plane-wave DFT calculation with GGA-PBE was carried out for a geometry-optimized MnC4 structure.

Cell lengths 2.570, 2.570, 6.062 Å; angles 90.00, 90.00, 120.00 degrees
Atoms (fractional coordinates):
Mn 0.000 0.000 0.000
C 0.667 0.333 0.788
C 0.333 0.667 0.212
C 0.667 0.333 0.544
C 0.333 0.667 0.456

Values from the calculation:
total magnetic moment	0.000	μB per atom
theoretical density	4.9	g cm⁻³


B:
A plane-wave DFT calculation with GGA-PBE was carried out for a geometry-optimized MnC4 structure.

Cell lengths 3.675, 3.675, 3.675 Å; angles 123.24, 123.24, 84.48 degrees
Atoms (fractional coordinates):
Mn 0.000 0.000 0.000
C 0.750 0.250 0.500
C 0.250 0.750 0.500
C 0.639 0.639 0.000
C 0.361 0.361 0.000

Values from the calculation:
total magnetic moment	0.096	μB per atom
theoretical density	5.1	g cm⁻³


C:
A plane-wave DFT calculation with GGA-PBE was carried out for a geometry-optimized MnC4 structure.

Cell lengths 3.734, 3.734, 3.734 Å; angles 90.00, 90.00, 90.00 degrees
Atoms (fractional coordinates):
C 0.000 0.000 0.000
C 0.500 0.000 0.500
C 0.000 0.500 0.500
C 0.500 0.500 0.000
Mn 0.500 0.500 0.500

Values from the calculation:
total magnetic moment	0.413	μB per atom
theoretical density	3.3	g cm⁻³


D:
A plane-wave DFT calculation with GGA-PBE was carried out for a geometry-optimized MnC4 structure.

Cell lengths 4.656, 4.656, 4.656 Å; angles 94.32, 94.32, 148.16 degrees
Atoms (fractional coordinates):
Mn 0.000 0.000 0.000
C 0.725 0.725 0.451
C 0.275 0.725 0.000
C 0.275 0.275 0.549
C 0.725 0.275 0.000

Values from the calculation:
total magnetic moment	0.697	μB per atom
theoretical density	3.3	g cm⁻³


Which structure is most stable, and how do the rest compare? From most to least stable: A, D, B, C.